[1]
Hg3SeBr2, optimized geometry, DFT PBE; ΔE_f (raw) = -0.20 eV/atom; SG = C2/c; crystal system = monoclinic
1.0
8.596 0.001 0.002
-4.297 6.361 1.170
0.003 1.586 8.524
Hg Se Br
6 2 4
direct
0.633 0.000 0.750
0.367 0.000 0.250
0.784 0.681 0.613
0.103 0.319 0.887
0.897 0.681 0.113
0.216 0.319 0.387
0.070 0.000 0.250
0.930 0.000 0.750
0.425 0.721 0.467
0.296 0.721 0.967
0.704 0.279 0.033
0.575 0.279 0.533



[2]
Hg5Se2Br5, optimized geometry, DFT PBE; ΔE_f (raw) = -0.29 eV/atom; SG = P-1; crystal system = triclinic
1.0
-0.269 1.994 4.191
-7.432 0.133 0.807
-7.436 -10.478 5.588
Hg Se Br
5 2 5
direct
0.958 0.749 0.332
0.428 0.567 0.826
0.572 0.433 0.174
0.042 0.251 0.668
0.000 0.000 0.000
0.974 0.378 0.809
0.026 0.622 0.191
0.500 0.500 0.500
0.433 0.188 0.091
0.850 0.044 0.376
0.150 0.956 0.624
0.567 0.812 0.909



[3]
HgSe2Br, optimized geometry, DFT PBE; ΔE_f (raw) = 0.07 eV/atom; excess energy over the best structure of this formula in the dataset = 14.3 kJ/mol of atoms; SG = Cmm2; crystal system = orthorhombic
1.0
4.253 0.033 0.000
-2.603 3.364 0.000
0.000 0.000 8.461
Br Hg Se
1 1 2
direct
0.000 0.000 0.500
0.500 0.500 0.757
0.000 0.000 0.025
0.500 0.500 0.219



[4]
HgSe2Br, optimized geometry, DFT PBE; ΔE_f (raw) = 0.14 eV/atom; excess energy over the best structure of this formula in the dataset = 21.9 kJ/mol of atoms; SG = Pmmm; crystal system = orthorhombic
1.0
-1.020 -1.039 -3.225
5.844 -5.276 -0.150
-3.215 -3.624 2.185
Br Hg Se
1 1 2
direct
0.500 0.500 0.250
0.500 0.500 0.750
0.000 0.000 0.958
0.000 0.000 0.542



[5]
Hg3Se2Br2, optimized geometry, DFT PBE; ΔE_f (raw) = -0.34 eV/atom; excess energy over the best structure of this formula in the dataset = 1.2 kJ/mol of atoms; SG = P2_1/c; crystal system = monoclinic
1.0
-1.525 -1.847 6.564
6.817 -3.586 0.574
3.688 7.376 2.280
Hg Se Br
6 4 4
direct
0.500 0.500 0.500
0.000 0.000 0.000
0.672 0.935 0.323
0.828 0.435 0.177
0.172 0.565 0.823
0.328 0.065 0.677
0.809 0.633 0.422
0.691 0.133 0.078
0.309 0.867 0.922
0.191 0.367 0.578
0.225 0.380 0.110
0.725 0.120 0.610
0.275 0.880 0.390
0.775 0.620 0.890



[6]
HgSe2Br2, optimized geometry, DFT PBE; ΔE_f (raw) = 0.17 eV/atom; SG = P4/mbm; crystal system = tetragonal
1.0
-2.492 -4.103 -5.681
7.000 -1.180 -2.219
0.231 -4.350 3.041
Se Hg Br
4 2 4
direct
0.395 0.895 0.000
0.895 0.605 0.000
0.605 0.105 0.000
0.105 0.395 0.000
0.000 0.000 0.000
0.500 0.500 0.000
0.257 0.757 0.500
0.757 0.743 0.500
0.743 0.243 0.500
0.243 0.257 0.500



Which value of ΔE_f (raw) does entry 4 give?
0.14 eV/atom



Copy entry 6 word for word.
HgSe2Br2, optimized geometry, DFT PBE; ΔE_f (raw) = 0.17 eV/atom; SG = P4/mbm; crystal system = tetragonal
1.0
-2.492 -4.103 -5.681
7.000 -1.180 -2.219
0.231 -4.350 3.041
Se Hg Br
4 2 4
direct
0.395 0.895 0.000
0.895 0.605 0.000
0.605 0.105 0.000
0.105 0.395 0.000
0.000 0.000 0.000
0.500 0.500 0.000
0.257 0.757 0.500
0.757 0.743 0.500
0.743 0.243 0.500
0.243 0.257 0.500



The lowest ΔE_f (raw) belongs to which entry?
Hg3Se2Br2



What did the first record say?
Hg3SeBr2, optimized geometry, DFT PBE; ΔE_f (raw) = -0.20 eV/atom; SG = C2/c; crystal system = monoclinic
1.0
8.596 0.001 0.002
-4.297 6.361 1.170
0.003 1.586 8.524
Hg Se Br
6 2 4
direct
0.633 0.000 0.750
0.367 0.000 0.250
0.784 0.681 0.613
0.103 0.319 0.887
0.897 0.681 0.113
0.216 0.319 0.387
0.070 0.000 0.250
0.930 0.000 0.750
0.425 0.721 0.467
0.296 0.721 0.967
0.704 0.279 0.033
0.575 0.279 0.533